Entry 1:
Here is a relaxed structure of KAl from Alexandria. Energies are from GGA-PBE.

POSCAR file:
```
KAl
1.0
-2.3289 4.7460 4.4464
2.3289 -4.7460 4.4464
2.3289 4.7460 -4.4464
K Al
2 2
direct
0.0000 0.0000 0.0000 K
0.5000 0.0000 0.5000 K
0.4439 0.6939 0.7500 Al
0.5561 0.3061 0.2500 Al
```

DFT formation energy: 0.244 eV per atom
Total energy: -8.703 eV per cell
Symmetry: Imma, No. 74
DOS(E_F): 0.689 states/eV/f.u.
Polymorph energy (0 for the lowest one): 127 meV per atom

***

Entry 2:
Here is a relaxed structure of GdAl8Cr4 from Alexandria. Energies are from GGA-PBE.

POSCAR file:
```
GdAl8Cr4
1.0
-4.4707 4.4707 2.5222
4.4707 -4.4707 2.5222
4.4707 4.4707 -2.5222
Gd Al Cr
1 8 4
direct
0.0000 0.0000 0.0000 Gd
0.0000 0.3384 0.3384 Al
0.0000 0.6616 0.6616 Al
0.2766 0.5000 0.7766 Al
0.3384 0.0000 0.3384 Al
0.5000 0.2766 0.7766 Al
0.5000 0.7234 0.2234 Al
0.6616 0.0000 0.6616 Al
0.7234 0.5000 0.2234 Al
0.0000 0.0000 0.5000 Cr
0.0000 0.5000 0.0000 Cr
0.5000 0.0000 0.0000 Cr
0.5000 0.5000 0.5000 Cr
```

DFT formation energy: -0.218 eV per atom
Total energy: -85.355 eV per cell
Symmetry: I4/mmm, No. 139
DOS(E_F): 9.208 states/eV/f.u.

***

Entry 3:
Here is a relaxed structure of Mn2VGe4 from Alexandria. Energies are from GGA-PBE.

POSCAR file:
```
Mn2VGe4
1.0
-2.3496 2.3496 6.1417
2.3496 -2.3496 6.1417
2.3496 2.3496 -6.1417
Mn V Ge
2 1 4
direct
0.1047 0.1047 0.0000 Mn
0.8953 0.8953 0.0000 Mn
0.5000 0.5000 0.0000 V
0.0000 0.5000 0.5000 Ge
0.3046 0.3046 0.0000 Ge
0.5000 0.0000 0.5000 Ge
0.6954 0.6954 0.0000 Ge
```

DFT formation energy: 0.370 eV per atom
Total energy: -43.339 eV per cell
Symmetry: I4/mmm, No. 139
DOS(E_F): 3.250 states/eV/f.u.